VASP calculation (GGA-PBE) on crystalline Hf3GeC2 at its relaxed geometry.

Calculated values
* symmetry: Pmc2_1
* ΔE_f: -0.58 eV per atom
* theoretical density: 11.63 g/cm3
* total magnetic moment: 0.00 μB/cell

Cell: 3.261 5.293 10.461 Å, 90.00 90.00 90.00°
Element x y z (fractional)
Hf (0.000, 0.200, 0.413)
Hf (0.500, 0.192, 0.132)
Hf (0.500, 0.713, 0.323)
Hf (0.500, 0.692, 0.868)
Hf (0.000, 0.700, 0.587)
Hf (0.500, 0.213, 0.677)
C (0.000, 0.464, 0.774)
C (0.500, 0.956, 0.499)
C (0.000, 0.964, 0.226)
C (0.500, 0.456, 0.501)
Ge (0.000, 0.177, 0.908)
Ge (0.000, 0.677, 0.092)



VASP calculation (GGA-PBE) on crystalline SmDy2Pb2 at its relaxed geometry.

Calculated values
* symmetry: C2/m
* ΔE_f: -0.27 eV per atom
* theoretical density: 9.59 g/cm3
* total magnetic moment: 0.00 μB/cell

Cell: 4.613 4.613 7.910 Å, 106.54 106.54 90.03°
Element x y z (fractional)
Dy (0.750, 0.250, 0.500)
Dy (0.250, 0.750, 0.500)
Sm (0.000, 0.000, 0.000)
Pb (0.394, 0.394, 0.798)
Pb (0.606, 0.606, 0.202)



VASP calculation (GGA-PBE) on crystalline LaCe2SbN2 at its relaxed geometry.

Calculated values
* symmetry: P4/mmm
* theoretical density: 6.61 g/cm3
* formation energy (no corrections): -0.824 eV/atom
* total magnetic moment: 2.14 μB/cell

Cell: 4.607 4.607 6.732 Å, 90.00 90.00 90.00°
Last column: magnetic moment on the atom in μB.
Element x y z (fractional)
Ce (0.500, 0.500, 0.229)  1.02
Ce (0.500, 0.500, 0.771)  1.02
La (0.000, 0.000, 0.000)  -0.03
N (0.000, 0.500, 0.000)  -0.10
N (0.500, 0.000, 0.000)  -0.10
Sb (0.000, 0.000, 0.500)  -0.04



VASP calculation (GGA-PBE) on crystalline PrCdGe2Rh5 at its relaxed geometry.

Calculated values
* symmetry: P4/mmm
* ΔE_f: -0.32 eV per atom
* theoretical density: 9.39 g/cm3
* total magnetic moment: 0.00 μB/cell

Cell: 4.624 4.624 7.554 Å, 90.00 90.00 90.00°
Element x y z (fractional)
Rh (0.000, 0.500, 0.234)
Rh (0.500, 0.500, 0.500)
Rh (0.500, 0.000, 0.234)
Rh (0.000, 0.500, 0.766)
Rh (0.500, 0.000, 0.766)
Pr (0.000, 0.000, 0.500)
Ge (0.500, 0.500, 0.171)
Ge (0.500, 0.500, 0.829)
Cd (0.000, 0.000, 0.000)



VASP calculation (GGA-PBE) on crystalline LuTlInAg at its relaxed geometry.

Calculated values
* symmetry: F-43m
* ΔE_f: -0.14 eV per atom
* theoretical density: 10.62 g/cm3
* total magnetic moment: 0.00 μB/cell

Cell: 5.106 5.106 5.106 Å, 60.00 60.00 60.00°
Element x y z (fractional)
In (0.500, 0.500, 0.500)
Lu (0.000, 0.000, 0.000)
Ag (0.250, 0.250, 0.250)
Tl (0.750, 0.750, 0.750)



VASP calculation (GGA-PBE) on crystalline Li2AgPd2 at its relaxed geometry.

Calculated values
* symmetry: I4/mmm
* ΔE_f: -0.02 eV per atom
* energy above the most stable polymorph in this dataset: 24.4 kJ/mol of atoms
* theoretical density: 7.06 g/cm3
* total magnetic moment: 0.00 μB/cell

Cell: 3.456 3.456 7.031 Å, 75.77 75.77 90.00°
Element x y z (fractional)
Ag (0.000, 0.000, 0.000)
Li (0.750, 0.250, 0.500)
Li (0.250, 0.750, 0.500)
Pd (0.606, 0.606, 0.787)
Pd (0.394, 0.394, 0.213)



- theoretical density of number 5 (LuTlInAg)?
  10.62 g/cm3



- total magnetic moment of number 2 (SmDy2Pb2)?
  0.00 μB/cell



Copy entry 2 word for word.
VASP calculation (GGA-PBE) on crystalline SmDy2Pb2 at its relaxed geometry.

Calculated values
* symmetry: C2/m
* ΔE_f: -0.27 eV per atom
* theoretical density: 9.59 g/cm3
* total magnetic moment: 0.00 μB/cell

Cell: 4.613 4.613 7.910 Å, 106.54 106.54 90.03°
Element x y z (fractional)
Dy (0.750, 0.250, 0.500)
Dy (0.250, 0.750, 0.500)
Sm (0.000, 0.000, 0.000)
Pb (0.394, 0.394, 0.798)
Pb (0.606, 0.606, 0.202)